# 1
# UPaVRe, optimized geometry, DFT PBE-GGA
# Mass density: 16.12 Mg/m³
# Crystal system: cubic
# Size of the total moment: 0.35 μB per cell
# Formation energy from the elements: 0.10 eV per atom
data_UPaVRe
_cell_length_a 6.627
_cell_length_b 6.627
_cell_length_c 6.627
_cell_angle_alpha 90.00
_cell_angle_beta 90.00
_cell_angle_gamma 90.00
_symmetry_space_group_name_H-M 'F -4 3 m'
_symmetry_Int_Tables_number 216
_symmetry_space_group_name_Hall 'F -4 2 3'
loop_
_atom_site_label
_atom_site_fract_x
_atom_site_fract_y
_atom_site_fract_z
_atom_site_occupancy
U1 0.000 0.000 0.000 1
Pa1 0.250 0.250 0.750 1
V1 0.250 0.250 0.250 1
Re1 0.000 0.000 0.500 1


# 2
# Si2PCl, optimized geometry, DFT PBE-GGA
# Raw formation energy: 0.300 eV/atom
# Mass density: 2.63 Mg/m³
# Crystal system: tetragonal
# Size of the total moment: 0.00 μB per cell
# Excess energy over the best structure of this formula in the dataset: 1.12 eV/f.u.
data_Si2PCl
_cell_length_a 3.037
_cell_length_b 3.037
_cell_length_c 8.409
_cell_angle_alpha 90.00
_cell_angle_beta 90.00
_cell_angle_gamma 90.00
_symmetry_space_group_name_H-M 'P 4 m m'
_symmetry_Int_Tables_number 99
loop_
_symmetry_equiv_pos_as_xyz
'x,y,z'
'-y,x,z'
'-x,-y,z'
'y,-x,z'
'-x,y,z'
'y,x,z'
'x,-y,z'
'-y,-x,z'
loop_
_atom_site_label
_atom_site_fract_x
_atom_site_fract_y
_atom_site_fract_z
_atom_site_occupancy
Si1 0.000 0.000 0.000 1
Si2 0.500 0.500 0.208 1
P1 0.500 0.500 0.851 1
Cl1 0.000 0.000 0.408 1


# 3
# Li2NiPd2, optimized geometry, DFT PBE-GGA
# Mass density: 4.08 Mg/m³
# Crystal system: tetragonal
# Size of the total moment: 1.49 μB per cell
# Excess energy over the best structure of this formula in the dataset: 3.65 eV/f.u.
# Formation energy from the elements: 0.61 eV per atom
data_Li2NiPd2
_cell_length_a 3.596
_cell_length_b 3.596
_cell_length_c 17.959
_cell_angle_alpha 90.00
_cell_angle_beta 90.00
_cell_angle_gamma 90.00
_symmetry_space_group_name_H-M 'I 4/m m m'
_symmetry_Int_Tables_number 139
_symmetry_space_group_name_Hall '-I 4 2'
loop_
_atom_site_label
_atom_site_fract_x
_atom_site_fract_y
_atom_site_fract_z
_atom_site_occupancy
Li1 0.000 0.000 0.139 1
Ni1 0.000 0.000 0.000 1
Pd1 0.000 0.500 0.250 1


# 4
# CsBe2Ni2, optimized geometry, DFT PBE-GGA
# Mass density: 4.26 Mg/m³
# Crystal system: tetragonal
# Size of the total moment: 0.00 μB per cell
# Excess energy over the best structure of this formula in the dataset: 0.00 eV/f.u.
# Formation energy from the elements: 0.28 eV per atom
data_CsBe2Ni2
_cell_length_a 4.040
_cell_length_b 4.040
_cell_length_c 12.821
_cell_angle_alpha 90.00
_cell_angle_beta 90.00
_cell_angle_gamma 90.00
_symmetry_space_group_name_H-M 'I 4/m m m'
_symmetry_Int_Tables_number 139
_symmetry_space_group_name_Hall '-I 4 2'
loop_
_atom_site_label
_atom_site_fract_x
_atom_site_fract_y
_atom_site_fract_z
_atom_site_occupancy
Cs1 0.000 0.000 0.000 1
Be1 0.000 0.000 0.289 1
Ni1 0.000 0.500 0.250 1


# 5
# PuTlZn, optimized geometry, DFT PBE-GGA
# Mass density: 10.90 Mg/m³
# Crystal system: cubic
# Size of the total moment: 21.57 μB per cell
# Formation energy from the elements: 0.12 eV per atom
data_PuTlZn
_cell_length_a 6.790
_cell_length_b 6.790
_cell_length_c 6.790
_cell_angle_alpha 90.00
_cell_angle_beta 90.00
_cell_angle_gamma 90.00
_symmetry_space_group_name_H-M 'F -4 3 m'
_symmetry_Int_Tables_number 216
_symmetry_space_group_name_Hall 'F -4 2 3'
loop_
_atom_site_label
_atom_site_fract_x
_atom_site_fract_y
_atom_site_fract_z
_atom_site_occupancy
Pu1 0.000 0.000 0.000 1
Tl1 0.000 0.000 0.500 1
Zn1 0.250 0.250 0.250 1


# 6
# PmHgAu4, optimized geometry, DFT PBE-GGA
# Mass density: 14.38 Mg/m³
# Crystal system: hexagonal
# Size of the total moment: 0.00 μB per cell
# Excess energy over the best structure of this formula in the dataset: 0.02 eV/f.u.
# Formation energy from the elements: -0.42 eV per atom
data_PmHgAu4
_cell_length_a 4.7913
_cell_length_b 4.7913
_cell_length_c 6.5813
_cell_angle_alpha 90.00
_cell_angle_beta 90.00
_cell_angle_gamma 120.00
_symmetry_space_group_name_H-M 'P 6/m m m'
_symmetry_Int_Tables_number 191
_symmetry_space_group_name_Hall '-P 6 2'
loop_
_atom_site_label
_atom_site_fract_x
_atom_site_fract_y
_atom_site_fract_z
_atom_site_occupancy
Pm1 0.0000 0.0000 0.0000 1
Hg1 0.0000 0.0000 0.5000 1
Au1 0.3333 0.6667 0.2567 1


# 7
# OsPt2Br, optimized geometry, DFT PBE-GGA
# Raw formation energy: 0.679 eV/atom
# Mass density: 15.81 Mg/m³
# Crystal system: tetragonal
# Size of the total moment: 0.00 μB per cell
# Excess energy over the best structure of this formula in the dataset: 0.95 eV/f.u.
data_OsPt2Br
_cell_length_a 2.940
_cell_length_b 2.940
_cell_length_c 8.023
_cell_angle_alpha 90.00
_cell_angle_beta 90.00
_cell_angle_gamma 90.00
_symmetry_space_group_name_H-M 'P 4 m m'
_symmetry_Int_Tables_number 99
loop_
_symmetry_equiv_pos_as_xyz
'x,y,z'
'-y,x,z'
'-x,-y,z'
'y,-x,z'
'-x,y,z'
'y,x,z'
'x,-y,z'
'-y,-x,z'
loop_
_atom_site_label
_atom_site_fract_x
_atom_site_fract_y
_atom_site_fract_z
_atom_site_occupancy
Os1 0.000 0.000 0.000 1
Pt1 0.000 0.000 0.440 1
Pt2 0.500 0.500 0.208 1
Br1 0.500 0.500 0.767 1


# 8
# Ta2Co21B6, optimized geometry, DFT PBE-GGA
# Mass density: 9.58 Mg/m³
# Crystal system: cubic
# Size of the total moment: 73.72 μB per cell
# Formation energy from the elements: -0.28 eV per atom
data_Ta2Co21B6
_cell_length_a 10.491
_cell_length_b 10.491
_cell_length_c 10.491
_cell_angle_alpha 90.00
_cell_angle_beta 90.00
_cell_angle_gamma 90.00
_symmetry_space_group_name_H-M 'F m -3 m'
_symmetry_Int_Tables_number 225
_symmetry_space_group_name_Hall '-F 4 2 3'
loop_
_atom_site_label
_atom_site_fract_x
_atom_site_fract_y
_atom_site_fract_z
_atom_site_occupancy
Ta1 0.250 0.250 0.250 1
Co1 0.000 0.000 0.000 1
Co2 0.000 0.169 0.169 1
Co3 0.116 0.116 0.384 1
B1 0.000 0.000 0.274 1


# 9
# Th2Fe17H3, optimized geometry, DFT PBE-GGA
# Total energy: -7.746 eV/atom
# Mass density: 8.89 Mg/m³
# Crystal system: trigonal
# Size of the total moment: 108.13 μB per cell
data_Th2Fe17H3
_cell_length_a 8.6356
_cell_length_b 8.6356
_cell_length_c 12.2952
_cell_angle_alpha 90.00
_cell_angle_beta 90.00
_cell_angle_gamma 120.00
_symmetry_space_group_name_H-M 'R -3 m'
_symmetry_Int_Tables_number 166
_symmetry_space_group_name_Hall '-R 3 2"'
loop_
_atom_site_label
_atom_site_fract_x
_atom_site_fract_y
_atom_site_fract_z
_atom_site_occupancy
Th1 0.0000 0.0000 0.1575 1
Fe1 0.0000 0.0000 0.4038 1
Fe2 0.0000 0.2829 0.5000 1
Fe3 0.0000 0.5000 0.0000 1
Fe4 0.0038 0.5019 0.3434 1
H1 0.0000 0.5000 0.5000 1


# 10
# MgInSb, optimized geometry, DFT PBE-GGA
# Raw formation energy: -0.029 eV/atom
# Mass density: 4.58 Mg/m³
# Crystal system: cubic
# Size of the total moment: 0.00 μB per cell
data_MgInSb
_cell_length_a 7.230
_cell_length_b 7.230
_cell_length_c 7.230
_cell_angle_alpha 90.00
_cell_angle_beta 90.00
_cell_angle_gamma 90.00
_symmetry_space_group_name_H-M 'F -4 3 m'
_symmetry_Int_Tables_number 216
_symmetry_space_group_name_Hall 'F -4 2 3'
loop_
_atom_site_label
_atom_site_fract_x
_atom_site_fract_y
_atom_site_fract_z
_atom_site_occupancy
Mg1 0.000 0.000 0.000 1
In1 0.000 0.000 0.500 1
Sb1 0.250 0.250 0.750 1


# 11
# Ca2HgSb, optimized geometry, DFT PBE-GGA
# Raw formation energy: -0.733 eV/atom
# Mass density: 5.89 Mg/m³
# Crystal system: cubic
# Size of the total moment: 0.00 μB per cell
# Excess energy over the best structure of this formula in the dataset: 0.21 eV/f.u.
data_Ca2HgSb
_cell_length_a 7.687
_cell_length_b 7.687
_cell_length_c 7.687
_cell_angle_alpha 90.00
_cell_angle_beta 90.00
_cell_angle_gamma 90.00
_symmetry_space_group_name_H-M 'F m -3 m'
_symmetry_Int_Tables_number 225
_symmetry_space_group_name_Hall '-F 4 2 3'
loop_
_atom_site_label
_atom_site_fract_x
_atom_site_fract_y
_atom_site_fract_z
_atom_site_occupancy
Ca1 0.250 0.250 0.250 1
Hg1 0.000 0.000 0.000 1
Sb1 0.000 0.000 0.500 1


# 12
# ScAlTl2, optimized geometry, DFT PBE-GGA
# Mass density: 8.70 Mg/m³
# Crystal system: tetragonal
# Size of the total moment: 0.00 μB per cell
# Excess energy over the best structure of this formula in the dataset: 0.23 eV/f.u.
# Formation energy from the elements: -0.03 eV per atom
data_ScAlTl2
_cell_length_a 4.393
_cell_length_b 4.393
_cell_length_c 9.506
_cell_angle_alpha 90.00
_cell_angle_beta 90.00
_cell_angle_gamma 90.00
_symmetry_space_group_name_H-M 'I 4/m m m'
_symmetry_Int_Tables_number 139
_symmetry_space_group_name_Hall '-I 4 2'
loop_
_atom_site_label
_atom_site_fract_x
_atom_site_fract_y
_atom_site_fract_z
_atom_site_occupancy
Sc1 0.000 0.000 0.000 1
Al1 0.000 0.000 0.500 1
Tl1 0.000 0.500 0.250 1


# 13
# In5Pt2Au4, optimized geometry, DFT PBE-GGA
# Mass density: 13.19 Mg/m³
# Crystal system: orthorhombic
# Size of the total moment: 0.00 μB per cell
# Formation energy from the elements: -0.24 eV per atom
data_In5Pt2Au4
_cell_length_a 7.219
_cell_length_b 17.445
_cell_length_c 3.503
_cell_angle_alpha 90.00
_cell_angle_beta 90.00
_cell_angle_gamma 90.00
_symmetry_space_group_name_H-M 'P b a m'
_symmetry_Int_Tables_number 55
loop_
_symmetry_equiv_pos_as_xyz
'x,y,z'
'-x,-y,-z'
'-x,-y,z'
'x,y,-z'
'x+1/2,-y+1/2,-z'
'-x+1/2,y+1/2,z'
'-x+1/2,y+1/2,-z'
'x+1/2,-y+1/2,z'
loop_
_atom_site_label
_atom_site_fract_x
_atom_site_fract_y
_atom_site_fract_z
_atom_site_occupancy
In1 0.000 0.000 0.000 1
In2 0.118 0.423 0.000 1
In3 0.241 0.216 0.000 1
Pt1 0.036 0.305 0.500 1
Au1 0.075 0.856 0.500 1
Au2 0.222 0.568 0.500 1


# 14
# YBeNiP2, optimized geometry, DFT PBE-GGA
# Mass density: 2.80 Mg/m³
# Crystal system: tetragonal
# Size of the total moment: 0.06 μB per cell
# Formation energy from the elements: 1.43 eV per atom
data_YBeNiP2
_cell_length_a 5.177
_cell_length_b 5.177
_cell_length_c 4.831
_cell_angle_alpha 90.00
_cell_angle_beta 90.00
_cell_angle_gamma 90.00
_symmetry_space_group_name_H-M 'P 4/m m m'
_symmetry_Int_Tables_number 123
_symmetry_space_group_name_Hall '-P 4 2'
loop_
_atom_site_label
_atom_site_fract_x
_atom_site_fract_y
_atom_site_fract_z
_atom_site_occupancy
Y1 0.000 0.000 0.000 1
Be1 0.500 0.500 0.500 1
Ni1 0.000 0.000 0.500 1
P1 0.000 0.500 0.000 1


# 15
# V4HgS8, optimized geometry, DFT PBE-GGA
# Raw formation energy: -0.779 eV/atom
# Mass density: 4.02 Mg/m³
# Crystal system: trigonal
# Size of the total moment: 0.01 μB per cell
data_V4HgS8
_cell_length_a 6.3702
_cell_length_b 6.3702
_cell_length_c 23.3301
_cell_angle_alpha 90.00
_cell_angle_beta 90.00
_cell_angle_gamma 120.00
_symmetry_space_group_name_H-M 'R -3 m'
_symmetry_Int_Tables_number 166
_symmetry_space_group_name_Hall '-R 3 2"'
loop_
_atom_site_label
_atom_site_fract_x
_atom_site_fract_y
_atom_site_fract_z
_atom_site_occupancy
V1 0.0000 0.0000 0.0000 1
V2 0.0000 0.5000 0.0000 1
Hg1 0.0000 0.0000 0.5000 1
S1 0.0000 0.0000 0.2699 1
S2 0.0011 0.5006 0.2704 1


# 16
# NiH2Br6, optimized geometry, DFT PBE-GGA
# Total energy: -2.631 eV/atom
# Mass density: 2.73 Mg/m³
# Crystal system: monoclinic
# Size of the total moment: 7.93 μB per cell
data_NiH2Br6
_cell_length_a 14.277
_cell_length_b 11.174
_cell_length_c 9.856
_cell_angle_alpha 90.00
_cell_angle_beta 123.41
_cell_angle_gamma 90.00
_symmetry_space_group_name_H-M 'C 1 2/c 1'
_symmetry_Int_Tables_number 15
loop_
_symmetry_equiv_pos_as_xyz
'x,y,z'
'-x,-y,-z'
'-x,y,-z+1/2'
'x,-y,z+1/2'
'x+1/2,y+1/2,z'
'-x+1/2,-y+1/2,-z'
'-x+1/2,y+1/2,-z+1/2'
'x+1/2,-y+1/2,z+1/2'
loop_
_atom_site_label
_atom_site_fract_x
_atom_site_fract_y
_atom_site_fract_z
_atom_site_occupancy
Ni1 0.000 0.148 0.250 1
H1 0.158 0.408 0.372 1
Br1 0.078 0.013 0.471 1
Br2 0.133 0.250 0.229 1
Br3 0.183 0.479 0.966 1


# 17
# MnAl3, optimized geometry, DFT PBE-GGA
# Mass density: 3.54 Mg/m³
# Crystal system: orthorhombic
# Size of the total moment: 8.05 μB per cell
# Formation energy from the elements: 0.07 eV per atom
data_MnAl3
_cell_length_a 7.789
_cell_length_b 7.389
_cell_length_c 4.429
_cell_angle_alpha 90.00
_cell_angle_beta 90.00
_cell_angle_gamma 90.00
_symmetry_space_group_name_H-M 'C m c m'
_symmetry_Int_Tables_number 63
_symmetry_space_group_name_Hall '-C 2c 2'
loop_
_atom_site_label
_atom_site_fract_x
_atom_site_fract_y
_atom_site_fract_z
_atom_site_occupancy
Mn1 0.000 0.094 0.250 1
Al1 0.000 0.416 0.250 1
Al2 0.168 0.202 0.750 1


# 18
# NdPaHg2, optimized geometry, DFT PBE-GGA
# Mass density: 12.29 Mg/m³
# Crystal system: trigonal
# Size of the total moment: 0.00 μB per cell
# Excess energy over the best structure of this formula in the dataset: 0.45 eV/f.u.
# Formation energy from the elements: -0.03 eV per atom
data_NdPaHg2
_cell_length_a 3.3380
_cell_length_b 3.3380
_cell_length_c 32.6135
_cell_angle_alpha 90.00
_cell_angle_beta 90.00
_cell_angle_gamma 120.00
_symmetry_space_group_name_H-M 'R -3 m'
_symmetry_Int_Tables_number 166
_symmetry_space_group_name_Hall '-R 3 2"'
loop_
_atom_site_label
_atom_site_fract_x
_atom_site_fract_y
_atom_site_fract_z
_atom_site_occupancy
Nd1 0.0000 0.0000 0.0000 1
Pa1 0.0000 0.0000 0.5000 1
Hg1 0.0000 0.0000 0.2491 1


# 19
# Li5Lu3H12, optimized geometry, DFT PBE-GGA
# Total energy: -3.611 eV/atom
# Mass density: 4.89 Mg/m³
# Crystal system: cubic
# Size of the total moment: 0.00 μB per cell
data_Li5Lu3H12
_cell_length_a 11.584
_cell_length_b 11.584
_cell_length_c 11.584
_cell_angle_alpha 90.00
_cell_angle_beta 90.00
_cell_angle_gamma 90.00
_symmetry_space_group_name_H-M 'I a -3 d'
_symmetry_Int_Tables_number 230
_symmetry_space_group_name_Hall '-I 4bd 2c 3'
loop_
_atom_site_label
_atom_site_fract_x
_atom_site_fract_y
_atom_site_fract_z
_atom_site_occupancy
Li1 0.000 0.000 0.000 1
Li2 0.000 0.250 0.375 1
Lu1 0.000 0.250 0.125 1
H1 0.023 0.064 0.655 1


# 20
# TbDyO2, optimized geometry, DFT PBE-GGA
# Raw formation energy: -2.909 eV/atom
# Mass density: 7.97 Mg/m³
# Crystal system: trigonal
# Size of the total moment: 0.00 μB per cell
data_TbDyO2
_cell_length_a 3.6119
_cell_length_b 3.6119
_cell_length_c 19.5493
_cell_angle_alpha 90.00
_cell_angle_beta 90.00
_cell_angle_gamma 120.00
_symmetry_space_group_name_H-M 'R -3 m'
_symmetry_Int_Tables_number 166
_symmetry_space_group_name_Hall '-R 3 2"'
loop_
_atom_site_label
_atom_site_fract_x
_atom_site_fract_y
_atom_site_fract_z
_atom_site_occupancy
Tb1 0.0000 0.0000 0.0000 1
Dy1 0.0000 0.0000 0.5000 1
O1 0.0000 0.0000 0.1133 1